VASP calculation (GGA+U) on a geometry-optimized Rb3V2AgO8 structure.

Cell and atoms, written as extended XYZ:
```
14
Lattice="6.0001 0.0000 0.0000 -3.0000 5.1962 0.0000 0.0000 0.0000 7.9264" Properties=species:S:1:pos:R:3 pbc="T T T"
Rb 0.0000 0.0000 0.0000
Rb 0.0000 3.4641 5.5678
Rb 3.0000 1.7321 2.3586
V 0.0000 3.4641 2.0920
V 3.0000 1.7321 5.8344
Ag 0.0000 0.0000 3.9632
O 0.0000 1.7736 2.6037
O -1.4641 4.3094 2.6037
O 0.0000 3.4641 0.4057
O 1.5359 0.8868 5.3227
O 1.4641 4.3094 2.6037
O 3.0000 1.7321 7.5207
O 4.4641 0.8868 5.3227
O 3.0000 3.4227 5.3227
```

SG   P-3m1 (164)
N(E_F)   3.68 states/eV/f.u.
E   -81.76 eV/cell
Magnetization   1.84 μB per formula unit